[1]
This record from Alexandria via LeMat-Bulk describes KAs2Os2 after structural relaxation. The functional is GGA-PBE.

Geometry as POSCAR:
```
KAs2Os2
1.0
7.859 0.000 0.000
0.000 7.859 0.000
0.000 0.000 2.928
K As Os
2 4 4
direct
0.000 0.000 0.000
0.500 0.500 0.000
0.142 0.358 0.000
0.358 0.858 0.000
0.642 0.142 0.000
0.858 0.642 0.000
0.129 0.629 0.500
0.371 0.129 0.500
0.629 0.871 0.500
0.871 0.371 0.500
```

Computed properties:
D(E_F) ... 0.999 states/eV per atom
Density ... 10.46 g cm⁻³
Total DFT energy (no corrections) ... -6.06 eV/atom
Space-group type ... P4/mbm
Energy of formation ... 0.5108 eV per atom
M_tot ... 0.0 μB per formula unit

---

[2]
This record from Alexandria via LeMat-Bulk describes KAsOs3 after structural relaxation. The functional is GGA-PBE.

Geometry as POSCAR:
```
KAsOs3
1.0
4.616 0.000 0.000
0.000 4.616 0.000
0.000 0.000 4.616
K As Os
1 1 3
direct
0.000 0.000 0.000
0.500 0.500 0.500
0.000 0.000 0.500
0.000 0.500 0.000
0.500 0.000 0.000
```

Computed properties:
D(E_F) ... 1.711 states/eV per atom
Density ... 11.56 g cm⁻³
Total DFT energy (no corrections) ... -4.01 eV/atom
Space-group type ... Pm-3m
Energy of formation ... 3.8760 eV per atom
M_tot ... 0.0 μB per formula unit

---

[3]
This record from Alexandria via LeMat-Bulk describes KAsOs3 after structural relaxation. The functional is GGA-PBE.

Geometry as POSCAR:
```
KAsOs3
1.0
4.674 0.000 0.000
0.000 4.674 0.000
0.000 0.000 4.674
K As Os
1 1 3
direct
0.000 0.000 0.000
0.500 0.500 0.500
0.000 0.500 0.500
0.500 0.000 0.500
0.500 0.500 0.000
```

Computed properties:
D(E_F) ... 1.209 states/eV per atom
Density ... 11.14 g cm⁻³
Total DFT energy (no corrections) ... -6.19 eV/atom
Space-group type ... Pm-3m
Energy of formation ... 1.6999 eV per atom
M_tot ... 1.7 μB per formula unit

---

[4]
This record from Alexandria via LeMat-Bulk describes KAs2Os after structural relaxation. The functional is GGA-PBE.

Geometry as POSCAR:
```
KAs2Os
1.0
7.013 0.000 0.000
0.000 7.013 0.000
0.000 0.000 10.119
K As Os
4 8 4
direct
0.000 0.000 0.000
0.000 0.500 0.250
0.500 0.000 0.750
0.500 0.500 0.500
0.129 0.250 0.625
0.250 0.629 0.875
0.250 0.871 0.375
0.371 0.250 0.125
0.629 0.750 0.125
0.750 0.129 0.375
0.750 0.371 0.875
0.871 0.750 0.625
0.000 0.000 0.500
0.000 0.500 0.750
0.500 0.000 0.250
0.500 0.500 0.000
```

Computed properties:
D(E_F) ... 0.435 states/eV per atom
Density ... 5.06 g cm⁻³
Total DFT energy (no corrections) ... -5.38 eV/atom
Space-group type ... I-42d
Energy of formation ... 0.0217 eV per atom
M_tot ... 0.0 μB per formula unit

---

[5]
This record from Alexandria via LeMat-Bulk describes KAs2Os after structural relaxation. The functional is GGA-PBE.

Geometry as POSCAR:
```
KAs2Os
1.0
3.700 0.000 0.000
-1.850 3.204 0.000
0.000 0.000 23.157
K As Os
3 6 3
direct
0.000 0.000 0.000
0.333 0.667 0.667
0.667 0.333 0.333
0.000 0.000 0.225
0.000 0.000 0.775
0.333 0.667 0.442
0.333 0.667 0.892
0.667 0.333 0.108
0.667 0.333 0.558
0.000 0.000 0.500
0.333 0.667 0.167
0.667 0.333 0.833
```

Computed properties:
D(E_F) ... 0.214 states/eV per atom
Density ... 6.88 g cm⁻³
Total DFT energy (no corrections) ... -5.41 eV/atom
Space-group type ... R-3m
Energy of formation ... -0.0076 eV per atom
M_tot ... 0.0 μB per formula unit

---

[6]
This record from Alexandria via LeMat-Bulk describes KAs2Os after structural relaxation. The functional is GGA-PBE.

Geometry as POSCAR:
```
KAs2Os
1.0
3.107 0.000 0.000
0.000 3.205 0.000
0.000 0.000 16.975
K As Os
2 4 2
direct
0.000 0.000 0.000
0.500 0.500 0.500
0.000 0.000 0.357
0.000 0.500 0.165
0.500 0.000 0.665
0.500 0.500 0.857
0.000 0.500 0.742
0.500 0.000 0.242
```

Computed properties:
D(E_F) ... 0.408 states/eV per atom
Density ... 7.45 g cm⁻³
Total DFT energy (no corrections) ... -5.37 eV/atom
Space-group type ... Imm2
Energy of formation ... 0.0367 eV per atom
M_tot ... 0.0 μB per formula unit

---

[7]
This record from Alexandria via LeMat-Bulk describes KAsOs after structural relaxation. The functional is GGA-PBE.

Geometry as POSCAR:
```
KAsOs
1.0
5.042 0.000 0.000
-2.521 4.367 0.000
0.000 0.000 2.686
K As Os
1 1 1
direct
0.000 0.000 0.000
0.333 0.667 0.500
0.667 0.333 0.500
```

Computed properties:
D(E_F) ... 0.922 states/eV per atom
Density ... 8.54 g cm⁻³
Total DFT energy (no corrections) ... -4.71 eV/atom
Space-group type ... P-6m2
Energy of formation ... 0.9447 eV per atom
M_tot ... 0.0 μB per formula unit

---

[8]
This record from Alexandria via LeMat-Bulk describes KAsOs after structural relaxation. The functional is GGA-PBE.

Geometry as POSCAR:
```
KAsOs
1.0
3.200 0.000 0.000
-1.600 2.771 0.000
0.000 0.000 7.323
K As Os
1 1 1
direct
0.000 0.000 0.000
0.333 0.667 0.612
0.667 0.333 0.393
```

Computed properties:
D(E_F) ... 0.710 states/eV per atom
Density ... 7.78 g cm⁻³
Total DFT energy (no corrections) ... -5.11 eV/atom
Space-group type ... P3m1
Energy of formation ... 0.5525 eV per atom
M_tot ... 0.6 μB per formula unit